[1]
VASP calculation (PBE) on a geometry-optimized TaHg2Au structure.

abc: 3.0716 3.0716 29.0083
angles: 90.00 90.00 120.00
Last column: nearest neighbours and their distance in Å.
Sites, in units of the cell vectors:
Ta  0.0000  0.0000  0.0000  6 Hg 3.00, 6 Ta 3.07
Ta  0.3333  0.6667  0.6667  6 Hg 3.00, 6 Ta 3.07
Ta  0.6667  0.3333  0.3333  6 Hg 3.00, 6 Ta 3.07
Hg  0.0000  0.0000  0.2500  3 Au 3.00, 3 Ta 3.00, 6 Hg 3.07
Hg  0.0000  0.0000  0.7500  3 Au 3.00, 3 Ta 3.00, 6 Hg 3.07
Hg  0.3333  0.6667  0.4167  3 Au 3.00, 3 Ta 3.00, 6 Hg 3.07
Hg  0.3333  0.6667  0.9166  3 Au 3.00, 3 Ta 3.00, 6 Hg 3.07
Hg  0.6667  0.3333  0.0834  3 Au 3.00, 3 Ta 3.00, 6 Hg 3.07
Hg  0.6667  0.3333  0.5833  3 Au 3.00, 3 Ta 3.00, 6 Hg 3.07
Au  0.0000  0.0000  0.5000  6 Hg 3.00, 6 Au 3.07
Au  0.3333  0.6667  0.1667  6 Hg 3.00, 6 Au 3.07
Au  0.6667  0.3333  0.8333  6 Hg 3.00, 6 Au 3.07

Values from the calculation:
- Calculated formation energy: 0.29 eV/atom
- DOS(E_F): 12.21 states/eV per cell
- Space-group type: R-3m (166)
- DFT total energy: -43.72 eV/cell

=====

[2]
VASP calculation (PBE) on a geometry-optimized MnTe2SN structure.

abc: 5.9465 5.9465 3.2128
angles: 90.00 90.00 90.00
Last column: nearest neighbours and their distance in Å.
Sites, in units of the cell vectors:
Mn  0.0000  0.0000  0.0000  2 Mn 3.21, 8 Te 3.38
Te  0.0000  0.5000  0.5000  2 S 2.97, 2 Te 3.21
Te  0.5000  0.0000  0.5000  2 S 2.97, 2 Te 3.21
S  0.5000  0.5000  0.5000  2 N 1.61
N  0.5000  0.5000  0.0000  2 S 1.61

Values from the calculation:
- DOS(E_F): 1.42 states/eV per cell
- Space-group type: P4/mmm (123)
- E_form (uncorrected): 0.866 eV per atom
- DFT total energy: -23.57 eV/cell

=====

[3]
VASP calculation (PBE) on a geometry-optimized LaErPt2 structure.

abc: 4.7784 4.7784 14.3193
angles: 90.00 90.00 120.00
Last column: nearest neighbours and their distance in Å.
Sites, in units of the cell vectors:
La  0.0000  0.0000  0.0000  8 Pt 3.17-3.20
La  0.3333  0.6667  0.6667  8 Pt 3.17-3.20
La  0.6667  0.3333  0.3333  8 Pt 3.17-3.20
Er  0.0000  0.0000  0.5000  6 Pt 2.88
Er  0.3333  0.6667  0.1667  6 Pt 2.88
Er  0.6667  0.3333  0.8333  6 Pt 2.88
Pt  0.0000  0.0000  0.2238  3 Er 2.88, 4 La 3.17-3.20, 3 Pt 3.21
Pt  0.0000  0.0000  0.7762  3 Er 2.88, 4 La 3.17-3.20, 3 Pt 3.21
Pt  0.3333  0.6667  0.4429  3 Er 2.88, 4 La 3.17-3.20, 3 Pt 3.21
Pt  0.3333  0.6667  0.8904  3 Er 2.88, 4 La 3.17-3.20, 3 Pt 3.21
Pt  0.6667  0.3333  0.1096  3 Er 2.88, 4 La 3.17-3.20, 3 Pt 3.21
Pt  0.6667  0.3333  0.5571  3 Er 2.88, 4 La 3.17-3.20, 3 Pt 3.21

Values from the calculation:
- Calculated formation energy: -1.15 eV/atom
- DOS(E_F): 6.92 states/eV per cell
- Space-group type: R-3m (166)
- DFT total energy: -78.56 eV/cell